No. 1
DFT (GGA-PBE) results for a relaxed VCoSb2Te crystal.

Values from the calculation:
As for the total energy: -23.374 eV for the cell shown. For the density of states at the Fermi level, the calculation gives 1.08 states/eV/atom. Its energy above the lowest structure with this stoichiometry is 0.11 eV per formula unit. The raw formation energy is 847 meV per atom.

Cell: 5.127 5.127 5.076 Å, 90.00 90.00 90.00°
Positions (direct):
V: 0.000 0.000 0.000
Co: 0.500 0.500 0.500
Sb: 0.000 0.500 0.000
Sb: 0.500 0.000 0.000
Te: 0.000 0.000 0.500


No. 2
DFT (GGA-PBE) results for a relaxed CoSb2TeW crystal.

Values from the calculation:
As for the total energy: -25.447 eV for the cell shown. For the density of states at the Fermi level, the calculation gives 0.76 states/eV/atom. Its energy above the lowest structure with this stoichiometry is 0.36 eV per formula unit. The raw formation energy is 1200 meV per atom.

Cell: 5.261 5.261 5.248 Å, 90.00 90.00 90.00°
Positions (direct):
Co: 0.000 0.000 0.000
Sb: 0.000 0.500 0.500
Sb: 0.500 0.000 0.500
Te: 0.500 0.500 0.000
W: 0.500 0.500 0.500


No. 3
DFT (GGA-PBE) results for a relaxed CoSbTe2W crystal.

Values from the calculation:
As for the total energy: -24.774 eV for the cell shown. For the density of states at the Fermi level, the calculation gives 0.84 states/eV/atom. Its energy above the lowest structure with this stoichiometry is 0.00 eV per formula unit. The raw formation energy is 1138 meV per atom.

Cell: 4.988 4.988 4.762 Å, 90.00 90.00 90.00°
Positions (direct):
Co: 0.000 0.000 0.000
Sb: 0.000 0.000 0.500
Te: 0.000 0.500 0.000
Te: 0.500 0.000 0.000
W: 0.500 0.500 0.500